Computed, not measured: a geometry-optimized Er3VO6 structure at the PBE with a Hubbard U level of DFT.

Values from the calculation:
Fermi-level density of states	3.26	states/eV/f.u.
relative energy among the computed polymorphs	0	meV/atom
VASP energy	-166.5	eV for the cell shown
size of the total moment	4.000	μB/cell
crystal system	trigonal

Unit cell a=6.4855 b=6.4855 c=6.4855 alpha=92.43 beta=92.43 gamma=92.43
Each line ends with the local moment (μB).
Element x y z (fractional)
O1 0.0825 0.9306 0.6958  -0.01
O2 0.4607 0.5901 0.8032  0.00
O3 0.9175 0.0694 0.3042  -0.01
O4 0.0694 0.3042 0.9175  -0.01
O5 0.3042 0.9175 0.0694  -0.01
O6 0.9306 0.6958 0.0825  -0.01
O7 0.4099 0.1968 0.5393  0.00
O8 0.5393 0.4099 0.1968  0.00
O9 0.1968 0.5393 0.4099  0.00
O10 0.8032 0.4607 0.5901  0.00
O11 0.5901 0.8032 0.4607  0.00
O12 0.6958 0.0825 0.9306  -0.01
Er1 0.0719 0.2546 0.5641  0.01
Er2 0.7454 0.4359 0.9281  0.01
Er3 0.4359 0.9281 0.7454  0.01
Er4 0.9281 0.7454 0.4359  0.01
Er5 0.2546 0.5641 0.0719  0.01
Er6 0.5641 0.0719 0.2546  0.01
V1 0.0000 0.0000 0.0000  1.94
V2 0.5000 0.5000 0.5000  1.86